Density functional theory data (PBEsol) for an optimized crystal structure of CoIrC2.

Results
crystal system	tetragonal
energy of formation from the pure elements	0.553	eV per atom

Cell: 4.4040 4.4040 5.4123 Å, 114.01 114.01 90.00°
Element x y z (fractional)
Ir1 0.2500 0.7500 0.5000
C1 0.3969 0.8750 0.2500
C2 0.1250 0.1469 0.7500
Co1 0.7500 0.2500 0.5000
C3 0.8531 0.3750 0.2500
C4 0.6250 0.6031 0.7500
Co2 0.5000 0.5000 0.0000
Ir2 0.0000 0.0000 0.0000



Density functional theory data (PBEsol) for an optimized crystal structure of KCo3C.

Results
crystal system	cubic
energy of formation from the pure elements	3.697	eV per atom

Cell: 4.2242 4.2242 4.2242 Å, 90.00 90.00 90.00°
Each line ends with the local moment (μB).
Element x y z (fractional)
Co1 0.0000 0.5000 0.0000  1.49
C1 0.5000 0.5000 0.5000  0.09
Co2 0.0000 0.0000 0.5000  1.49
Co3 0.5000 0.0000 0.0000  1.49
K1 0.0000 0.0000 0.0000  -0.04



Density functional theory data (PBEsol) for an optimized crystal structure of KCoC2.

Results
crystal system	tetragonal
energy of formation from the pure elements	0.766	eV per atom

Cell: 5.2800 5.8361 5.2800 Å, 63.11 90.00 116.89°
Element x y z (fractional)
K1 0.2500 0.5000 0.2500
C1 0.8750 0.2500 0.8750
C2 0.3750 0.2500 0.8750
C3 0.8750 0.7500 0.8750
Co1 0.0000 0.0000 0.0000
C4 0.8750 0.7500 0.3750
Co2 0.7500 0.5000 0.7500
K2 0.5000 0.0000 0.5000



Density functional theory data (PBEsol) for an optimized crystal structure of KCo2C.

Results
crystal system	cubic
energy of formation from the pure elements	0.706	eV per atom

Cell: 5.7673 5.7673 5.7673 Å, 60.00 60.00 60.00°
Each line ends with the local moment (μB).
Element x y z (fractional)
Co1 0.6250 0.6250 0.6250  0.46
C1 0.7500 0.7500 0.7500  -0.02
K1 0.2500 0.2500 0.2500  0.00
Co2 0.1250 0.6250 0.6250  0.46
Co3 0.6250 0.1250 0.6250  0.46
K2 0.0000 0.0000 0.0000  0.00
C2 0.5000 0.5000 0.5000  -0.02
Co4 0.6250 0.6250 0.1250  0.46



Density functional theory data (PBEsol) for an optimized crystal structure of KCoC2.

Results
crystal system	cubic
energy of formation from the pure elements	2.559	eV per atom

Cell: 3.9617 3.9617 3.9617 Å, 60.00 60.00 60.00°
Element x y z (fractional)
K1 0.0000 0.0000 0.0000
C1 0.2500 0.2500 0.2500
Co1 0.5000 0.5000 0.5000
C2 0.7500 0.7500 0.7500



Density functional theory data (PBEsol) for an optimized crystal structure of K3CoC6N6.

Results
energy	-7.659	eV per atom
crystal system	monoclinic

Cell: 7.0232 8.2853 10.2713 Å, 90.00 90.00 107.46°
Each line ends with the local moment (μB).
Element x y z (fractional)
N1 0.2934 0.8345 0.0790  -0.01
C1 0.1769 0.3883 0.0574  0.00
N2 0.7127 0.1843 0.5936  -0.01
C2 0.1769 0.8883 0.4426  0.00
C3 0.1801 0.7037 0.0496  0.00
C4 0.8199 0.7963 0.5496  0.00
N3 0.2013 0.0455 0.7632  -0.01
N4 0.2873 0.3157 0.0936  -0.01
Co1 0.0000 0.5000 0.0000  -0.13
N5 0.2934 0.3345 0.4210  -0.01
C5 0.8801 0.4743 0.1618  0.00
C6 0.8801 0.9743 0.3382  0.00
C7 0.8231 0.6117 0.9426  0.00
N6 0.7987 0.4545 0.2632  -0.01
K1 0.5023 0.1248 0.2219  0.00
C8 0.1801 0.2037 0.4504  0.00
Co2 0.0000 0.0000 0.5000  -0.13
N7 0.7066 0.6655 0.5790  -0.01
K2 0.0000 0.5000 0.5000  0.00
K3 0.4977 0.3752 0.7219  0.00
N8 0.2013 0.5455 0.7368  -0.01
K4 0.0000 0.0000 0.0000  0.00
N9 0.7066 0.1655 0.9210  -0.01
C9 0.8199 0.2963 0.9504  0.00
N10 0.2873 0.8157 0.4064  -0.01
N11 0.7127 0.6843 0.9064  -0.01
C10 0.1199 0.0257 0.6618  0.00
K5 0.5023 0.6248 0.2781  0.00
N12 0.7987 0.9545 0.2368  -0.01
C11 0.1199 0.5257 0.8382  0.00
C12 0.8231 0.1117 0.5574  0.00
K6 0.4977 0.8752 0.7781  0.00



Density functional theory data (PBEsol) for an optimized crystal structure of KCoPCO7.

Results
energy	-7.151	eV per atom
crystal system	monoclinic

Cell: 5.0124 5.9724 10.3645 Å, 90.00 93.17 90.00°
Each line ends with the local moment (μB).
Element x y z (fractional)
P1 0.2790 0.2351 0.4454  -0.01
O1 0.5229 0.2329 0.7623  -0.02
O2 0.4172 0.7331 0.5182  0.06
O3 0.8832 0.7379 0.4356  0.06
C1 0.2920 0.7360 0.1405  0.00
O4 0.3367 0.7410 0.0254  0.00
O5 0.2153 0.0391 0.3490  0.05
K1 0.2515 0.6493 0.7847  0.00
C2 0.7080 0.2360 0.8595  0.00
O6 0.6633 0.2410 0.9746  0.00
O7 0.1168 0.2379 0.5644  0.06
O8 0.4771 0.7329 0.2377  -0.02
Co1 0.7858 0.2327 0.6413  0.75
O9 0.7847 0.5391 0.6510  0.05
O10 0.0548 0.7364 0.1903  -0.01
O11 0.5828 0.2331 0.4818  0.06
Co2 0.2142 0.7327 0.3587  0.75
P2 0.7210 0.7351 0.5546  -0.01
O12 0.7900 0.9287 0.6516  0.07
O13 0.2100 0.4287 0.3484  0.07
K2 0.7485 0.1493 0.2153  0.00
O14 0.9452 0.2364 0.8097  -0.01



Density functional theory data (PBEsol) for an optimized crystal structure of K2CoPCO7.

Results
energy	-6.886	eV per atom
crystal system	monoclinic

Cell: 5.5161 6.7666 9.5284 Å, 90.00 88.94 90.00°
Each line ends with the local moment (μB).
Element x y z (fractional)
K1 0.7505 0.4783 0.7592  0.00
K2 0.2495 0.5217 0.2408  0.00
O1 0.2879 0.7500 0.0244  0.03
O2 0.1013 0.2500 0.4352  0.13
C1 0.7370 0.2500 0.1055  -0.01
P1 0.2683 0.2500 0.5650  0.02
O3 0.4618 0.7500 0.4908  0.18
O4 0.2251 0.4376 0.6533  0.12
K3 0.7505 0.0217 0.7592  0.00
O5 0.5382 0.2500 0.5092  0.18
O6 0.7121 0.2500 0.9756  0.03
O7 0.7749 0.9376 0.3467  0.12
Co1 0.2219 0.7500 0.6347  2.87
C2 0.2630 0.7500 0.8945  -0.01
O8 0.2251 0.0624 0.6533  0.12
K4 0.2495 0.9783 0.2408  0.00
O9 0.4451 0.7500 0.8038  0.13
O10 0.5549 0.2500 0.1962  0.13
O11 0.0545 0.7500 0.8317  0.14
O12 0.7749 0.5624 0.3467  0.12
O13 0.8987 0.7500 0.5648  0.13
P2 0.7317 0.7500 0.4350  0.02
O14 0.9455 0.2500 0.1683  0.14
Co2 0.7781 0.2500 0.3653  2.87



Density functional theory data (PBEsol) for an optimized crystal structure of LaCoC2.

Results
crystal system	cubic
energy of formation from the pure elements	1.118	eV per atom

Cell: 4.1085 4.1085 4.1085 Å, 60.00 60.00 60.00°
Element x y z (fractional)
La1 0.5000 0.5000 0.5000
C1 0.2500 0.2500 0.2500
Co1 0.0000 0.0000 0.0000
C2 0.7500 0.7500 0.7500



Density functional theory data (PBEsol) for an optimized crystal structure of LaCoC2.

Results
crystal system	monoclinic
energy of formation from the pure elements	-0.330	eV per atom

Cell: 3.8206 3.8206 7.3486 Å, 81.56 81.56 89.98°
Element x y z (fractional)
C1 0.1486 0.5081 0.2265
C2 0.5081 0.1486 0.7265
La1 0.0725 0.9256 0.4984
La2 0.9256 0.0725 0.9984
C3 0.4063 0.5578 0.0732
Co1 0.6287 0.4856 0.3049
Co2 0.4856 0.6287 0.8049
C4 0.5578 0.4063 0.5732



Density functional theory data (PBEsol) for an optimized crystal structure of Li6MnCoP2C2O14.

Results
energy	-7.054	eV per atom
crystal system	monoclinic

Cell: 4.9195 6.3447 8.4502 Å, 90.00 96.11 90.00°
Each line ends with the local moment (μB).
Element x y z (fractional)
O1 0.8373 0.0000 0.4251  0.04
Li1 0.2690 0.7678 0.7287  0.00
O2 0.8423 0.1881 0.6959  0.03
Li2 0.2690 0.2322 0.7287  0.00
Li3 0.7332 0.2599 0.2702  0.00
O3 0.9254 0.5000 0.9357  0.03
Li4 0.7971 0.0000 0.8958  0.00
O4 0.1585 0.6897 0.3040  0.05
O5 0.1585 0.3103 0.3040  0.05
O6 0.5867 0.5000 0.4257  0.04
O7 0.4876 0.5000 0.8398  0.03
C1 0.6734 0.5000 0.9626  0.00
O8 0.5069 0.0000 0.1655  0.06
P1 0.7324 0.0000 0.5890  0.01
Co1 0.2120 0.0000 0.3308  2.52
C2 0.3242 0.0000 0.0414  0.00
O9 0.8423 0.8119 0.6959  0.03
P2 0.2679 0.5000 0.4080  0.01
O10 0.6014 0.5000 0.1053  0.01
O11 0.0719 0.0000 0.0682  0.05
O12 0.3978 0.0000 0.8990  0.01
O13 0.4145 0.0000 0.5695  0.04
Mn1 0.7802 0.5000 0.6598  4.37
O14 0.1740 0.5000 0.5757  0.03
Li5 0.2031 0.5000 0.1044  0.00
Li6 0.7332 0.7401 0.2702  0.00



Density functional theory data (PBEsol) for an optimized crystal structure of NaLi2CoPCO7.

Results
energy	-6.850	eV per atom
crystal system	monoclinic

Cell: 4.9984 6.4438 8.4352 Å, 90.00 95.43 90.00°
Each line ends with the local moment (μB).
Element x y z (fractional)
O1 0.3480 0.4358 0.6950  0.06
O2 0.1023 0.7821 0.0935  0.01
Li1 0.2319 0.9939 0.2772  0.00
Li2 0.7091 0.7670 0.1029  0.00
Co1 0.2887 0.7482 0.6667  2.58
C1 0.8167 0.2576 0.0455  0.00
O3 0.9906 0.2300 0.1693  0.06
O4 0.0094 0.7300 0.8307  0.06
O5 0.6520 0.9358 0.3050  0.06
Co2 0.7113 0.2482 0.3333  2.58
O6 0.9190 0.2811 0.5586  0.05
O7 0.0810 0.7811 0.4414  0.05
Na1 0.2302 0.5173 0.2681  0.00
O8 0.2924 0.0612 0.6992  0.06
Na2 0.7698 0.0173 0.7319  0.00
P1 0.2283 0.2532 0.5896  0.01
Li3 0.2909 0.2670 0.8971  0.00
O9 0.7076 0.5612 0.3008  0.06
O10 0.3517 0.2376 0.4303  0.04
Li4 0.7681 0.4939 0.7228  0.00
O11 0.8977 0.2821 0.9065  0.01
O12 0.4340 0.7600 0.9292  0.05
O13 0.5660 0.2600 0.0708  0.05
O14 0.6483 0.7376 0.5697  0.04
P2 0.7717 0.7532 0.4104  0.01
C2 0.1833 0.7576 0.9545  0.00



Density functional theory data (PBEsol) for an optimized crystal structure of Na5LiCo2P2C2O14.

Results
energy	-6.743	eV per atom
crystal system	monoclinic

Cell: 5.1061 6.5691 8.7707 Å, 90.00 92.57 90.00°
Each line ends with the local moment (μB).
Element x y z (fractional)
Na1 0.7721 0.0000 0.9155  0.00
Co1 0.2253 0.0000 0.3410  2.59
O1 0.4880 0.0000 0.1514  0.05
Co2 0.7859 0.5000 0.6546  2.57
O2 0.6118 0.5000 0.0842  0.01
O3 0.2114 0.3138 0.3066  0.06
O4 0.7959 0.8112 0.6837  0.06
P1 0.7218 0.0000 0.5827  0.01
O5 0.3054 0.0000 0.9129  0.01
O6 0.4196 0.0000 0.5488  0.05
O7 0.1407 0.5000 0.5604  0.04
C1 0.7046 0.5000 0.9499  0.00
Na2 0.7429 0.2572 0.2667  0.00
O8 0.5415 0.5000 0.8308  0.06
Na3 0.2628 0.2451 0.7286  0.00
O9 0.9540 0.5000 0.9291  0.03
Na4 0.2628 0.7549 0.7286  0.00
O10 0.8633 0.0000 0.4320  0.04
C2 0.2832 0.0000 0.0581  0.00
O11 0.7959 0.1888 0.6837  0.06
O12 0.5859 0.5000 0.4460  0.05
O13 0.2114 0.6862 0.3066  0.06
Li1 0.2265 0.5000 0.1058  0.00
O14 0.0556 0.0000 0.1183  0.06
Na5 0.7429 0.7428 0.2667  0.00
P2 0.2859 0.5000 0.4102  0.01



Density functional theory data (PBEsol) for an optimized crystal structure of Li2CoC2O6.

Results
energy	-7.133	eV per atom
crystal system	triclinic

Cell: 5.0103 6.0621 7.7631 Å, 87.20 86.78 71.49°
Each line ends with the local moment (μB).
Element x y z (fractional)
Li1 0.9748 0.4787 0.8424  0.00
O1 0.2350 0.5729 0.6499  0.06
C1 0.8400 0.3811 0.2135  0.00
Li2 0.5008 0.9835 0.6453  0.00
O2 0.7701 0.9982 0.8468  0.08
Li3 0.1112 0.7070 0.4042  0.00
Li4 0.3304 0.3303 0.1143  0.00
O3 0.4950 0.8264 0.4126  0.07
O4 0.6238 0.6113 0.7452  0.06
Co1 0.0632 0.9621 0.0258  2.57
C2 0.3715 0.6028 0.7797  0.00
O5 0.1382 0.1108 0.7649  0.06
Co2 0.6362 0.4916 0.4989  2.53
O6 0.2602 0.6150 0.9346  0.03
O7 0.7799 0.1585 0.5835  0.05
O8 0.8430 0.8878 0.2412  0.06
C3 0.8964 0.0913 0.7293  0.00
O9 0.9955 0.4272 0.3244  0.07
O10 0.5834 0.3982 0.2611  0.07
C4 0.5822 0.8984 0.2629  0.01
O11 0.4069 0.9825 0.1441  0.06
O12 0.9390 0.3179 0.0601  0.05



Density functional theory data (PBEsol) for an optimized crystal structure of Li2CoC2O6.

Results
energy	-7.171	eV per atom
crystal system	monoclinic

Cell: 5.1315 7.7797 7.1918 Å, 90.00 90.00 107.03°
Each line ends with the local moment (μB).
Element x y z (fractional)
O1 0.4772 0.1663 0.2961  0.06
O2 0.0228 0.3337 0.7961  0.06
O3 0.5896 0.3822 0.0813  0.07
O4 0.9772 0.6663 0.2039  0.06
O5 0.5863 0.2202 0.6957  0.06
O6 0.5228 0.8337 0.7039  0.06
O7 0.9104 0.1178 0.5813  0.07
Co1 0.5000 0.0000 0.5000  2.56
Li1 0.9084 0.8616 0.6569  0.00
O8 0.4137 0.7798 0.3043  0.06
C1 0.1600 0.7728 0.3055  0.00
O9 0.0863 0.7202 0.8043  0.06
Li2 0.4084 0.3616 0.8431  0.00
O10 0.9137 0.2798 0.1957  0.06
Li3 0.5916 0.6384 0.1569  0.00
C2 0.3400 0.7272 0.8055  0.00
C3 0.6600 0.2728 0.1945  0.00
Li4 0.0916 0.1384 0.3431  0.00
Co2 0.0000 0.5000 0.0000  2.56
O11 0.0896 0.8822 0.4187  0.07
C4 0.8400 0.2272 0.6945  0.00
O12 0.4104 0.6178 0.9187  0.07



Density functional theory data (PBEsol) for an optimized crystal structure of Li2CoC2O6.

Results
energy	-7.171	eV per atom
crystal system	orthorhombic

Cell: 5.2721 6.0388 8.5751 Å, 82.29 72.10 64.11°
Each line ends with the local moment (μB).
Element x y z (fractional)
O1 0.1839 0.6586 0.6990  0.06
O2 0.5924 0.8415 0.1990  0.06
O3 0.7914 0.3415 0.8010  0.06
Co1 0.6201 0.5000 0.2500  2.54
O4 0.9714 0.3879 0.9981  0.05
O5 0.9696 0.8879 0.0019  0.05
O6 0.2596 0.5587 0.4418  0.07
O7 0.1094 0.1120 0.4982  0.05
O8 0.7014 0.0587 0.5582  0.07
C1 0.3516 0.6105 0.5497  0.00
Li1 0.1618 0.0375 0.0853  0.00
C2 0.9013 0.1105 0.4503  0.00
O9 0.8830 0.1586 0.3010  0.06
Li2 0.9494 0.4623 0.5853  0.00
C3 0.7618 0.3894 0.9503  0.00
C4 0.7121 0.8894 0.0497  0.00
O10 0.5102 0.4412 0.0583  0.07
Co2 0.8701 0.0000 0.7500  2.54
Li3 0.5347 0.9623 0.4147  0.00
O11 0.6076 0.6120 0.5018  0.05
O12 0.5685 0.9412 0.9417  0.07
Li4 0.2471 0.5375 0.9147  0.00



Density functional theory data (PBEsol) for an optimized crystal structure of LiCoPCO7.

Results
energy	-7.210	eV per atom
crystal system	monoclinic

Cell: 4.9471 5.9952 8.4924 Å, 90.00 94.37 90.00°
Each line ends with the local moment (μB).
Element x y z (fractional)
O1 0.8154 0.5601 0.6799  0.04
O2 0.1318 0.2676 0.5824  0.04
Co1 0.2095 0.7530 0.3326  0.72
Li1 0.2178 0.4847 0.7841  0.00
Li2 0.7822 0.9847 0.2159  0.00
O3 0.0425 0.7539 0.1253  -0.01
C1 0.2816 0.7461 0.0664  0.00
P1 0.2769 0.2566 0.4297  -0.01
O4 0.4132 0.7447 0.5286  0.06
O5 0.9575 0.2539 0.8747  -0.01
P2 0.7231 0.7566 0.5703  -0.01
O6 0.7956 0.9540 0.6832  0.10
O7 0.8682 0.7676 0.4176  0.04
O8 0.1846 0.0601 0.3201  0.04
O9 0.6750 0.2184 0.0725  0.00
O10 0.4712 0.7642 0.1854  0.00
O11 0.2044 0.4540 0.3168  0.10
C2 0.7184 0.2461 0.9336  0.00
Co2 0.7905 0.2530 0.6674  0.72
O12 0.3250 0.7184 0.9275  0.00
O13 0.5288 0.2642 0.8146  0.00
O14 0.5868 0.2447 0.4714  0.06